VASP calculation (PBE) on PrTc3C3 after structural relaxation.

Cell: 7.5666 7.5666 7.5666 Å, 46.64 46.64 46.64°
Last column: nearest neighbours and their distance in Å.
Fractional coordinates of all 14 atoms:
Pr (0.1706, 0.1706, 0.1706)  6 C 2.71-3.00
Pr (0.8294, 0.8294, 0.8294)  6 C 2.71-3.00
Tc (0.0822, 0.3536, 0.6994)  4 C 2.03-2.19
Tc (0.3006, 0.9178, 0.6464)  4 C 2.03-2.19
Tc (0.3536, 0.6994, 0.0822)  4 C 2.03-2.19
Tc (0.6464, 0.3006, 0.9178)  4 C 2.03-2.19
Tc (0.6994, 0.0822, 0.3536)  4 C 2.03-2.19
Tc (0.9178, 0.6464, 0.3006)  4 C 2.03-2.19
C (0.0283, 0.7368, 0.4242)  4 Tc 2.03-2.19
C (0.2632, 0.5758, 0.9717)  4 Tc 2.03-2.19
C (0.4242, 0.0283, 0.7368)  4 Tc 2.03-2.19
C (0.5758, 0.9717, 0.2632)  4 Tc 2.03-2.19
C (0.7368, 0.4242, 0.0283)  4 Tc 2.03-2.19
C (0.9717, 0.2632, 0.5758)  4 Tc 2.03-2.19

## Properties
The formation energy is 138 meV/atom. As for the total energy: -125.17 eV per cell.